Record 1
The following is a GGA-PBE calculation of a relaxed structure of Ac2PuH, from Alexandria.

a b c (Å): 3.6126 3.6126 9.0035
angles (deg): 90.00 90.00 90.00
Atoms (fractional coordinates):
Ac: 0.0000 0.0000 0.7978
Ac: 0.0000 0.0000 0.2022
Pu: 0.5000 0.5000 0.5000
H: 0.5000 0.5000 0.0000

Properties
DOS at the Fermi energy, states/eV/f.u.: 8.6
Total moment, μB/f.u.: 6.8
Electronic total energy, eV/atom: -6.23
Symmetry: P4/mmm, No. 123
Mass density, g/cm3: 9.9
Energy above the most stable polymorph in this dataset, meV/atom: 24.4


Record 2
The following is a GGA-PBE calculation of a relaxed structure of AcPu2H8, from Alexandria.

a b c (Å): 3.8676 5.3861 6.7003
angles (deg): 113.70 106.78 90.00
Atoms (fractional coordinates):
H: 0.0000 0.7010 0.0000
H: 0.6654 0.4435 0.3309
H: 0.3346 0.1126 0.6691
H: 0.3346 0.5565 0.6691
H: 0.6654 0.8874 0.3309
H: 0.0000 0.2990 0.0000
H: 0.1694 0.1693 0.3387
H: 0.8306 0.8307 0.6613
Pu: 0.8174 0.3174 0.6347
Pu: 0.1826 0.6826 0.3653
Ac: 0.5000 0.0000 0.0000

Properties
DOS at the Fermi energy, states/eV/f.u.: 13.5
Total moment, μB/f.u.: 11.0
Electronic total energy, eV/atom: -5.86
Symmetry: Immm, No. 71
Mass density, g/cm3: 9.9